## MnNbTc3 (PBE-GGA)

Data for a relaxed MnNbTc3 crystal.

Cell: 4.650 4.650 4.650 Å, 90.00 90.00 90.00°
Space group Pm-3m (No. 221)
One atom of each set of equivalent atoms:
Mn 0.000 0.000 0.000 (multiplicity 1)
Nb 0.500 0.500 0.500 (multiplicity 1)
Tc 0.000 0.500 0.500 (multiplicity 3)

Results
**Energy above the lowest structure with this stoichiometry**: 1.253 eV/atom
**Density**: 7.30 g/cm3
**ΔH_f (0 K)**: 2.194 eV per atom
**Electronic total energy**: -39.37 eV per cell
**V**: 100.6 Å³/cell



## MnNbVTc (PBE-GGA)

Data for a relaxed MnNbVTc crystal.

Cell: 6.104 6.104 6.104 Å, 90.00 90.00 90.00°
Space group F-43m (No. 216)
One atom of each set of equivalent atoms:
Mn 0.000 0.000 0.000 (multiplicity 4)
Nb 0.250 0.250 0.750 (multiplicity 4)
V 0.250 0.250 0.250 (multiplicity 4)
Tc 0.000 0.000 0.500 (multiplicity 4)

Results
**Density**: 8.67 g/cm3
**ΔH_f (0 K)**: -0.213 eV per atom
**Electronic total energy**: -158.31 eV per cell
**V**: 227.5 Å³/cell



## MnNbTcW (PBE-GGA)

Data for a relaxed MnNbTcW crystal.

Cell: 6.211 6.211 6.211 Å, 90.00 90.00 90.00°
Space group F-43m (No. 216)
One atom of each set of equivalent atoms:
Mn 0.000 0.000 0.000 (multiplicity 4)
Nb 0.250 0.250 0.750 (multiplicity 4)
Tc 0.000 0.000 0.500 (multiplicity 4)
W 0.250 0.250 0.250 (multiplicity 4)

Results
**Density**: 11.91 g/cm3
**ΔH_f (0 K)**: -0.046 eV per atom
**Electronic total energy**: -170.97 eV per cell
**V**: 239.6 Å³/cell



## MnNbZnTc2 (PBE-GGA)

Data for a relaxed MnNbZnTc2 crystal.

Cell: 4.420 4.420 4.544 Å, 90.00 90.00 90.00°
Space group P4/mmm (No. 123)
One atom of each set of equivalent atoms:
Mn 0.000 0.000 0.000 (multiplicity 1)
Nb 0.000 0.000 0.500 (multiplicity 1)
Zn 0.500 0.500 0.500 (multiplicity 1)
Tc 0.000 0.500 0.000 (multiplicity 2)

Results
**Density**: 7.65 g/cm3
**ΔH_f (0 K)**: 0.962 eV per atom
**Electronic total energy**: -36.43 eV per cell
**V**: 88.8 Å³/cell



## MnNbTe (PBE-GGA)

Data for a relaxed MnNbTe crystal.

Cell: 3.768 4.352 6.767 Å, 83.20 89.92 89.95°
Space group P-1 (No. 2)
One atom of each set of equivalent atoms:
Mn 0.250 0.237 0.480 (multiplicity 2)
Nb 0.250 0.756 0.265 (multiplicity 2)
Te 0.250 0.737 0.809 (multiplicity 2)

Results
**Energy above the lowest structure with this stoichiometry**: 0.255 eV/atom
**Density**: 8.30 g/cm3
**Electronic total energy**: -44.22 eV per cell
**V**: 110.2 Å³/cell
**Formation energy without anion corrections**: 0.091 eV per atom



## MnNbTe4 (PBE-GGA)

Data for a relaxed MnNbTe4 crystal.

Cell: 6.516 3.713 7.158 Å, 90.00 90.19 90.00°
Space group P2/m (No. 10)
One atom of each set of equivalent atoms:
Mn 0.000 0.000 0.000 (multiplicity 1)
Nb 0.500 0.500 0.000 (multiplicity 1)
Te 0.158 0.500 0.764 (multiplicity 2)
Te 0.321 0.000 0.246 (multiplicity 2)

Results
**Energy above the lowest structure with this stoichiometry**: 0.000 eV/atom
**Density**: 6.31 g/cm3
**Electronic total energy**: -33.44 eV per cell
**V**: 173.2 Å³/cell
**Formation energy without anion corrections**: -0.272 eV per atom



## Mn2NbTe2 (PBE-GGA)

Data for a relaxed Mn2NbTe2 crystal.

Cell: 3.352 3.352 15.972 Å, 90.00 90.00 90.00°
Space group I4/mmm (No. 139)
One atom of each set of equivalent atoms:
Mn 0.000 0.500 0.250 (multiplicity 4)
Nb 0.000 0.000 0.000 (multiplicity 2)
Te 0.000 0.000 0.391 (multiplicity 4)

Results
**Energy above the lowest structure with this stoichiometry**: 0.002 eV/atom
**Density**: 8.48 g/cm3
**Electronic total energy**: -64.34 eV per cell
**V**: 179.4 Å³/cell
**Formation energy without anion corrections**: 0.504 eV per atom



## MnNb7Te12 (PBE-GGA)

Data for a relaxed MnNb7Te12 crystal.

Cell: 14.2451 14.2451 9.1865 Å, 90.00 90.00 120.00°
Space group R-3 (No. 148, hexagonal axes)
One atom of each set of equivalent atoms:
Mn 0.0000 0.0000 0.0000 (multiplicity 3)
Nb 0.0000 0.0000 0.5000 (multiplicity 3)
Nb 0.0412 0.1525 0.8473 (multiplicity 18)
Te 0.0267 0.5862 0.6634 (multiplicity 18)
Te 0.0504 0.1897 0.3425 (multiplicity 18)

Results
**Density**: 6.90 g/cm3
**Electronic total energy**: -369.17 eV per cell
**V**: 1614.4 Å³/cell
**Formation energy without anion corrections**: -0.285 eV per atom



## MnNb3Te6 (PBE-GGA)

Data for a relaxed MnNb3Te6 crystal.

Cell: 11.346 13.743 6.625 Å, 90.00 90.00 90.00°
Space group Cmc2_1 (No. 36)
One atom of each set of equivalent atoms:
Mn 0.000 0.225 0.000 (multiplicity 4)
Nb 0.000 0.398 0.296 (multiplicity 4)
Nb 0.131 0.136 0.287 (multiplicity 8)
Te 0.000 0.038 0.986 (multiplicity 4)
Te 0.000 0.233 0.580 (multiplicity 4)
Te 0.154 0.451 0.635 (multiplicity 8)
Te 0.194 0.307 0.099 (multiplicity 8)

Results
**Density**: 7.07 g/cm3
**Electronic total energy**: -239.10 eV per cell
**V**: 1033.1 Å³/cell
**Formation energy without anion corrections**: -0.155 eV per atom



## MnNbTe3 (PBE-GGA)

Data for a relaxed MnNbTe3 crystal.

Cell: 5.416 5.416 5.416 Å, 90.00 90.00 90.00°
Space group Pm-3m (No. 221)
One atom of each set of equivalent atoms:
Mn 0.000 0.000 0.000 (multiplicity 1)
Nb 0.500 0.500 0.500 (multiplicity 1)
Te 0.000 0.500 0.500 (multiplicity 3)

Results
**Energy above the lowest structure with this stoichiometry**: 0.615 eV/atom
**Density**: 5.55 g/cm3
**Electronic total energy**: -26.22 eV per cell
**V**: 158.8 Å³/cell
**Formation energy without anion corrections**: 0.489 eV per atom



## Mn2NbTe4 (PBE-GGA)

Data for a relaxed Mn2NbTe4 crystal.

Cell: 3.7608 3.7608 44.9063 Å, 90.00 90.00 120.00°
Space group R-3m (No. 166, hexagonal axes)
One atom of each set of equivalent atoms:
Mn 0.0000 0.0000 0.0786 (multiplicity 6)
Nb 0.0000 0.0000 0.5000 (multiplicity 3)
Te 0.0000 0.0000 0.2087 (multiplicity 6)
Te 0.0000 0.0000 0.3766 (multiplicity 6)

Results
**Density**: 6.46 g/cm3
**Electronic total energy**: -124.58 eV per cell
**V**: 550.0 Å³/cell
**Formation energy without anion corrections**: -0.079 eV per atom



## MnNbTe4 (PBE-GGA)

Data for a relaxed MnNbTe4 crystal.

Cell: 8.841 15.503 6.108 Å, 90.00 131.96 90.00°
Space group C2/c (No. 15)
One atom of each set of equivalent atoms:
Mn 0.000 0.195 0.250 (multiplicity 4)
Nb 0.000 0.452 0.750 (multiplicity 4)
Te 0.180 0.305 0.711 (multiplicity 8)
Te 0.205 0.059 0.644 (multiplicity 8)

Results
**Energy above the lowest structure with this stoichiometry**: 0.061 eV/atom
**Density**: 7.02 g/cm3
**Electronic total energy**: -132.30 eV per cell
**V**: 622.5 Å³/cell
**Formation energy without anion corrections**: -0.211 eV per atom



## MnNbTe3 (PBE-GGA)

Data for a relaxed MnNbTe3 crystal.

Cell: 5.731 7.526 7.531 Å, 73.79 69.22 69.23°
Space group P-1 (No. 2)
One atom of each set of equivalent atoms:
Mn 0.001 0.129 0.371 (multiplicity 2)
Nb 0.437 0.811 0.311 (multiplicity 2)
Te 0.073 0.174 0.675 (multiplicity 2)
Te 0.398 0.602 0.691 (multiplicity 2)
Te 0.399 0.192 0.102 (multiplicity 2)

Results
**Energy above the lowest structure with this stoichiometry**: 0.000 eV/atom
**Density**: 6.30 g/cm3
**Electronic total energy**: -58.58 eV per cell
**V**: 279.6 Å³/cell
**Formation energy without anion corrections**: -0.125 eV per atom



## MnNb2Te5 (PBE-GGA)

Data for a relaxed MnNb2Te5 crystal.

Cell: 5.448 13.218 12.990 Å, 90.00 90.00 90.00°
Space group Cmcm (No. 63)
One atom of each set of equivalent atoms:
Mn 0.000 0.193 0.250 (multiplicity 4)
Nb 0.000 0.176 0.539 (multiplicity 8)
Te 0.000 0.038 0.116 (multiplicity 8)
Te 0.000 0.260 0.750 (multiplicity 4)
Te 0.000 0.339 0.094 (multiplicity 8)

Results
**Density**: 6.24 g/cm3
**Electronic total energy**: -184.86 eV per cell
**V**: 935.5 Å³/cell
**Formation energy without anion corrections**: -0.150 eV per atom



## Mn2NbTe2 (PBE-GGA)

Data for a relaxed Mn2NbTe2 crystal.

Cell: 7.417 7.417 3.073 Å, 90.00 90.00 90.00°
Space group P4/mbm (No. 127)
One atom of each set of equivalent atoms:
Mn 0.138 0.362 0.000 (multiplicity 4)
Nb 0.000 0.000 0.500 (multiplicity 2)
Te 0.157 0.657 0.500 (multiplicity 4)

Results
**Energy above the lowest structure with this stoichiometry**: 0.000 eV/atom
**Density**: 9.00 g/cm3
**Electronic total energy**: -64.36 eV per cell
**V**: 169.1 Å³/cell
**Formation energy without anion corrections**: 0.502 eV per atom



## MnNbTe (PBE-GGA)

Data for a relaxed MnNbTe crystal.

Cell: 5.994 5.994 5.994 Å, 90.00 90.00 90.00°
Space group F-43m (No. 216)
One atom of each set of equivalent atoms:
Mn 0.000 0.000 0.000 (multiplicity 4)
Nb 0.250 0.250 0.250 (multiplicity 4)
Te 0.250 0.250 0.750 (multiplicity 4)

Results
**Energy above the lowest structure with this stoichiometry**: 0.000 eV/atom
**Density**: 8.50 g/cm3
**Electronic total energy**: -91.49 eV per cell
**V**: 215.4 Å³/cell
**Formation energy without anion corrections**: -0.164 eV per atom



## MnNb2TlTe (PBE-GGA)

Data for a relaxed MnNb2TlTe crystal.

Cell: 4.813 4.813 4.664 Å, 90.00 90.00 90.00°
Space group P4/mmm (No. 123)
One atom of each set of equivalent atoms:
Mn 0.000 0.000 0.000 (multiplicity 1)
Nb 0.000 0.500 0.000 (multiplicity 2)
Tl 0.500 0.500 0.500 (multiplicity 1)
Te 0.000 0.000 0.500 (multiplicity 1)

Results
**Density**: 8.80 g/cm3
**Electronic total energy**: -31.10 eV per cell
**V**: 108.0 Å³/cell
**Formation energy without anion corrections**: 0.744 eV per atom



## ThMn4Nb (PBE-GGA)

Data for a relaxed ThMn4Nb crystal.

Cell: 7.182 7.182 7.182 Å, 90.00 90.00 90.00°
Space group F-43m (No. 216)
One atom of each set of equivalent atoms:
Th 0.000 0.000 0.000 (multiplicity 4)
Mn 0.124 0.124 0.376 (multiplicity 16)
Nb 0.250 0.250 0.750 (multiplicity 4)

Results
**Density**: 9.77 g/cm3
**ΔH_f (0 K)**: 0.103 eV per atom
**Electronic total energy**: -214.19 eV per cell
**V**: 370.5 Å³/cell



## TiMnNb2 (PBE-GGA)

Data for a relaxed TiMnNb2 crystal.

Cell: 4.466 4.466 3.166 Å, 90.00 90.00 90.00°
Space group P4/mmm (No. 123)
One atom of each set of equivalent atoms:
Ti 0.000 0.000 0.000 (multiplicity 1)
Mn 0.500 0.500 0.000 (multiplicity 1)
Nb 0.000 0.500 0.500 (multiplicity 2)

Results
**Energy above the lowest structure with this stoichiometry**: 0.091 eV/atom
**Density**: 7.59 g/cm3
**ΔH_f (0 K)**: 0.021 eV per atom
**Electronic total energy**: -37.12 eV per cell
**V**: 63.1 Å³/cell



## Ti3Mn2Nb (PBE-GGA)

Data for a relaxed Ti3Mn2Nb crystal.

Cell: 3.002 3.002 9.797 Å, 90.00 90.00 90.00°
Space group P4/mmm (No. 123)
One atom of each set of equivalent atoms:
Ti 0.000 0.000 0.000 (multiplicity 1)
Ti 0.000 0.000 0.297 (multiplicity 2)
Mn 0.500 0.500 0.155 (multiplicity 2)
Nb 0.500 0.500 0.500 (multiplicity 1)

Results
**Density**: 6.51 g/cm3
**ΔH_f (0 K)**: -0.163 eV per atom
**Electronic total energy**: -53.07 eV per cell
**V**: 88.3 Å³/cell



## TiMn5Nb4 (PBE-GGA)

Data for a relaxed TiMn5Nb4 crystal.

Cell: 3.055 3.055 15.237 Å, 90.00 90.00 90.00°
Space group P4/mmm (No. 123)
One atom of each set of equivalent atoms:
Ti 0.000 0.000 0.000 (multiplicity 1)
Mn 0.500 0.500 0.098 (multiplicity 2)
Mn 0.500 0.500 0.299 (multiplicity 2)
Mn 0.500 0.500 0.500 (multiplicity 1)
Nb 0.000 0.000 0.196 (multiplicity 2)
Nb 0.000 0.000 0.399 (multiplicity 2)

Results
**Density**: 8.11 g/cm3
**ΔH_f (0 K)**: -0.155 eV per atom
**Electronic total energy**: -95.57 eV per cell
**V**: 142.2 Å³/cell



## Ti2Mn2Nb (PBE-GGA)

Data for a relaxed Ti2Mn2Nb crystal.

Cell: 3.043 21.498 4.400 Å, 90.00 90.00 90.00°
Space group Cmcm (No. 63)
One atom of each set of equivalent atoms:
Ti 0.000 0.047 0.250 (multiplicity 4)
Ti 0.000 0.238 0.250 (multiplicity 4)
Mn 0.000 0.354 0.750 (multiplicity 4)
Mn 0.000 0.452 0.250 (multiplicity 4)
Nb 0.000 0.143 0.750 (multiplicity 4)

Results
**Energy above the lowest structure with this stoichiometry**: 0.000 eV/atom
**Density**: 6.89 g/cm3
**ΔH_f (0 K)**: -0.173 eV per atom
**Electronic total energy**: -180.25 eV per cell
**V**: 287.8 Å³/cell



## Ti4MnNb2 (PBE-GGA)

Data for a relaxed Ti4MnNb2 crystal.

Cell: 4.367 4.367 13.421 Å, 90.00 90.00 90.00°
Space group I4/mmm (No. 139)
One atom of each set of equivalent atoms:
Ti 0.000 0.000 0.181 (multiplicity 4)
Ti 0.000 0.500 0.000 (multiplicity 4)
Mn 0.000 0.000 0.000 (multiplicity 2)
Nb 0.000 0.000 0.369 (multiplicity 4)

Results
**Energy above the lowest structure with this stoichiometry**: 0.630 eV/atom
**Density**: 5.61 g/cm3
**ΔH_f (0 K)**: 0.598 eV per atom
**Electronic total energy**: -113.41 eV per cell
**V**: 256.0 Å³/cell



## Ti8Mn2Nb (PBE-GGA)

Data for a relaxed Ti8Mn2Nb crystal.

Cell: 5.171 5.338 7.251 Å, 86.20 83.51 63.24°
Space group P-1 (No. 2)
One atom of each set of equivalent atoms:
Ti 0.025 0.231 0.093 (multiplicity 2)
Ti 0.304 0.387 0.548 (multiplicity 2)
Ti 0.417 0.892 0.764 (multiplicity 2)
Ti 0.473 0.685 0.124 (multiplicity 2)
Mn 0.060 0.634 0.250 (multiplicity 2)
Nb 0.000 0.000 0.500 (multiplicity 1)

Results
**Density**: 5.48 g/cm3
**ΔH_f (0 K)**: 0.020 eV per atom
**Electronic total energy**: -91.35 eV per cell
**V**: 177.5 Å³/cell